1.
The following is a PBE calculation of CoHg2H2 after structural relaxation, from Alexandria.

Cell lengths 5.732, 5.732, 3.989 Å; angles 90.00, 90.00, 90.00 degrees
Site moments in Bohr magnetons follow the coordinates.
Positions (direct):
H  0.249  0.749  0.000  -0.01
H  0.749  0.751  0.000  0.00
H  0.751  0.251  0.000  -0.01
H  0.251  0.249  0.000  0.00
Co  0.000  0.000  0.000  0.68
Co  0.500  0.500  0.000  0.68
Hg  0.249  0.749  0.500  -0.01
Hg  0.749  0.751  0.500  0.00
Hg  0.751  0.251  0.500  -0.01
Hg  0.251  0.249  0.500  0.00

Properties
The magnetization is 1.302 μB/cell. The calculation puts the density at 11.71 g cm⁻³. As for the calculated total energy: -2.42 eV/atom.

2.
The following is a PBE calculation of CoHg3H after structural relaxation, from Alexandria.

Cell lengths 5.073, 5.073, 5.073 Å; angles 90.00, 90.00, 90.00 degrees
Site moments in Bohr magnetons follow the coordinates.
Positions (direct):
H  0.500  0.500  0.500  0.34
Co  0.000  0.000  0.000  1.11
Hg  0.000  0.500  0.000  0.00
Hg  0.000  0.000  0.500  -0.01
Hg  0.500  0.000  0.000  0.00

Properties
The magnetization is 1.844 μB/cell. The calculation puts the density at 8.42 g cm⁻³. The offset from the most stable computed form comes out at 0.0 kJ per mole of atoms.

3.
The following is a PBE calculation of CoHg3H after structural relaxation, from Alexandria.

Cell lengths 4.408, 4.408, 4.408 Å; angles 90.00, 90.00, 90.00 degrees
Site moments in Bohr magnetons follow the coordinates.
Positions (direct):
H  0.000  0.000  0.000  -0.02
Co  0.500  0.500  0.500  1.69
Hg  0.000  0.500  0.000  0.01
Hg  0.000  0.000  0.500  -0.01
Hg  0.500  0.000  0.000  -0.01

Properties
The magnetization is 1.604 μB/cell. The calculation puts the density at 12.83 g cm⁻³. The offset from the most stable computed form comes out at 2.7 kJ per mole of atoms.

Which of these has the lowest magnetization? CoHg2H2